(1)
Entry from Alexandria via LeMat-Bulk: a relaxed structure of Pu2TlS (GGA-PBE).

Structure (CIF):
```
data_Pu2TlS
_cell_length_a 3.375
_cell_length_b 3.375
_cell_length_c 8.316
_cell_angle_alpha 90.00
_cell_angle_beta 90.00
_cell_angle_gamma 90.00
_space_group_name_H-M_alt 'P 4/m m m'
_space_group_IT_number 123
_space_group_name_Hall '-P 4 2'
loop_
_atom_site_label
_atom_site_type_symbol
_atom_site_fract_x
_atom_site_fract_y
_atom_site_fract_z
Pu1 Pu 0.000 0.000 0.207
Tl1 Tl 0.500 0.500 0.500
S1 S 0.500 0.500 0.000
```

Results
Energy relative to the elements, uncorrected: -0.723 eV/atom
Polymorph energy (0 for the lowest one): 11.6 meV/atom
Total energy: -9.5122 eV/atom


(2)
Entry from Alexandria via LeMat-Bulk: a relaxed structure of LaPmPuZn (GGA-PBE).

Structure (CIF):
```
data_LaPmPuZn
_cell_length_a 7.629
_cell_length_b 7.629
_cell_length_c 7.629
_cell_angle_alpha 90.00
_cell_angle_beta 90.00
_cell_angle_gamma 90.00
_space_group_name_H-M_alt 'F -4 3 m'
_space_group_IT_number 216
_space_group_name_Hall 'F -4 2 3'
loop_
_atom_site_label
_atom_site_type_symbol
_atom_site_fract_x
_atom_site_fract_y
_atom_site_fract_z
La1 La 0.000 0.000 0.000
Pm1 Pm 0.250 0.250 0.250
Pu1 Pu 0.000 0.000 0.500
Zn1 Zn 0.250 0.250 0.750
```

Results
ΔH_f (0 K): 0.177 eV per atom
Total energy: -6.1437 eV/atom


(3)
Entry from Alexandria via LeMat-Bulk: a relaxed structure of NiBiPt (GGA-PBE).

Structure (CIF):
```
data_NiBiPt
_cell_length_a 4.2116
_cell_length_b 4.2116
_cell_length_c 8.0134
_cell_angle_alpha 90.00
_cell_angle_beta 90.00
_cell_angle_gamma 120.00
_space_group_name_H-M_alt 'P 3 m 1'
_space_group_IT_number 156
loop_
_space_group_symop_operation_xyz
'x,y,z'
'-y,x-y,z'
'-x+y,-x,z'
'-y,-x,z'
'-x+y,y,z'
'x,x-y,z'
loop_
_atom_site_label
_atom_site_type_symbol
_atom_site_fract_x
_atom_site_fract_y
_atom_site_fract_z
Ni1 Ni 0.0000 0.0000 0.0000
Ni2 Ni 0.3333 0.6667 0.2063
Bi1 Bi 0.0000 0.0000 0.3456
Bi2 Bi 0.6667 0.3333 0.7166
Pt1 Pt 0.3333 0.6667 0.8885
Pt2 Pt 0.6667 0.3333 0.0974
```

Results
Polymorph energy (0 for the lowest one): 18.6 meV/atom
ΔH_f (0 K): -0.095 eV per atom
Total energy: -5.3290 eV/atom